Record 1
The following is a DFT calculation (PBE) of a relaxed Tb2HfAl crystal.

a = 3.3840 Å, b = 3.3840 Å, c = 8.8189 Å
α = 90.00°, β = 90.00°, γ = 90.00°
Closest atoms and distances in Å follow each position.
Sites, in units of the cell vectors:
Tb  0.0000  0.0000  0.7663  4 Al 3.16, 4 Hf 3.35, 4 Tb 3.38
Tb  0.0000  0.0000  0.2337  4 Al 3.16, 4 Hf 3.35, 4 Tb 3.38
Hf  0.5000  0.5000  0.5000  8 Tb 3.35, 4 Hf 3.38
Al  0.5000  0.5000  0.0000  8 Tb 3.16, 4 Al 3.38

Summary:
Energy of formation from the pure elements (meV per atom): -98
ρ (kg/m3): 8605
Size of the total moment (μB/cell): 0.0
Excess energy over the best structure of this formula in the dataset (meV/atom): 5
SG: P4/mmm

Record 2
The following is a DFT calculation (PBE) of a relaxed TbHfAl3 crystal.

a = 5.8949 Å, b = 6.6423 Å, c = 6.6423 Å
α = 119.95°, β = 90.00°, γ = 90.00°
Closest atoms and distances in Å follow each position.
Sites, in units of the cell vectors:
Tb  0.2500  0.3333  0.6667  12 Al 3.31-3.35
Tb  0.7500  0.6667  0.3333  12 Al 3.31-3.35
Hf  0.0000  0.0000  0.0000  6 Al 2.76, 2 Hf 2.95
Hf  0.5000  0.0000  0.0000  6 Al 2.76, 2 Hf 2.95
Al  0.2500  0.7970  0.2030  2 Al 2.60, 2 Hf 2.76
Al  0.7500  0.2030  0.7970  2 Al 2.60, 2 Hf 2.76
Al  0.2500  0.7969  0.5943  2 Al 2.60, 2 Hf 2.76
Al  0.7500  0.2031  0.4057  2 Al 2.60, 2 Hf 2.76
Al  0.2500  0.4057  0.2031  2 Al 2.60, 2 Hf 2.76
Al  0.7500  0.5943  0.7969  2 Al 2.60, 2 Hf 2.76

Summary:
Energy of formation from the pure elements (meV per atom): -135
ρ (kg/m3): 6166
Size of the total moment (μB/cell): 0.0
SG: P6_3/mmc

Record 3
The following is a DFT calculation (PBE) of a relaxed TbHfAl4 crystal.

a = 5.4265 Å, b = 5.4265 Å, c = 5.4265 Å
α = 60.00°, β = 60.00°, γ = 60.00°
Closest atoms and distances in Å follow each position.
Sites, in units of the cell vectors:
Tb  0.2500  0.2500  0.2500  12 Al 3.18, 4 Hf 3.32
Hf  0.0000  0.0000  0.0000  12 Al 3.18, 4 Tb 3.32
Al  0.6254  0.6254  0.1238  6 Al 2.70-2.72
Al  0.6254  0.1238  0.6254  6 Al 2.70-2.72
Al  0.6254  0.6254  0.6254  6 Al 2.70-2.72
Al  0.1238  0.6254  0.6254  6 Al 2.70-2.72

Summary:
Energy of formation from the pure elements (meV per atom): -448
ρ (kg/m3): 6545
Size of the total moment (μB/cell): 0.0
SG: F-43m

Record 4
The following is a DFT calculation (PBE) of a relaxed TbHf2Al crystal.

a = 3.0978 Å, b = 3.0978 Å, c = 11.3029 Å
α = 82.12°, β = 82.12°, γ = 60.00°
Closest atoms and distances in Å follow each position.
Sites, in units of the cell vectors:
Tb  0.0000  0.0000  0.0000  6 Tb 3.10, 2 Hf 3.18
Hf  0.0951  0.0951  0.7148  3 Al 2.99, 6 Hf 3.10, 1 Tb 3.18
Hf  0.9049  0.9049  0.2852  3 Al 2.99, 6 Hf 3.10, 1 Tb 3.18
Al  0.5000  0.5000  0.5000  6 Hf 2.99, 6 Al 3.10

Summary:
Energy of formation from the pure elements (meV per atom): 241
ρ (kg/m3): 9720
Size of the total moment (μB/cell): 0.0
Excess energy over the best structure of this formula in the dataset (meV/atom): 351
SG: R-3m

Record 5
The following is a DFT calculation (PBE) of a relaxed TbHfAl2 crystal.

a = 3.2903 Å, b = 3.2903 Å, c = 9.6728 Å
α = 80.21°, β = 80.21°, γ = 60.00°
Closest atoms and distances in Å follow each position.
Sites, in units of the cell vectors:
Tb  0.5000  0.5000  0.5000  6 Al 3.15, 6 Tb 3.29
Hf  0.0000  0.0000  0.0000  6 Al 2.93
Al  0.7450  0.7450  0.7650  3 Hf 2.93, 3 Tb 3.15
Al  0.2550  0.2550  0.2350  3 Hf 2.93, 3 Tb 3.15

Summary:
Energy of formation from the pure elements (meV per atom): -79
ρ (kg/m3): 7309
Size of the total moment (μB/cell): 0.0
Excess energy over the best structure of this formula in the dataset (meV/atom): 212
SG: R-3m

Record 6
The following is a DFT calculation (PBE) of a relaxed Tb2HfAl crystal.

a = 4.6468 Å, b = 4.5828 Å, c = 4.5828 Å
α = 90.00°, β = 90.00°, γ = 90.00°
Closest atoms and distances in Å follow each position.
Sites, in units of the cell vectors:
Tb  0.0000  0.0000  0.5000  4 Tb 3.24, 4 Hf 3.26, 4 Al 3.26
Tb  0.0000  0.5000  0.0000  4 Tb 3.24, 4 Hf 3.26, 4 Al 3.26
Hf  0.5000  0.0000  0.0000  4 Al 3.24, 8 Tb 3.26
Al  0.5000  0.5000  0.5000  4 Hf 3.24, 8 Tb 3.26

Summary:
Energy of formation from the pure elements (meV per atom): -103
ρ (kg/m3): 8904
Size of the total moment (μB/cell): 0.0
Excess energy over the best structure of this formula in the dataset (meV/atom): 0
SG: P4/mmm

Record 7
The following is a DFT calculation (PBE) of a relaxed TbHf2Al crystal.

a = 3.1455 Å, b = 3.1455 Å, c = 9.0973 Å
α = 90.00°, β = 90.00°, γ = 90.00°
Closest atoms and distances in Å follow each position.
Sites, in units of the cell vectors:
Tb  0.5000  0.5000  0.5000  4 Tb 3.15, 8 Hf 3.42
Hf  0.0000  0.0000  0.7858  4 Al 2.96, 4 Hf 3.15
Hf  0.0000  0.0000  0.2142  4 Al 2.96, 4 Hf 3.15
Al  0.5000  0.5000  0.0000  8 Hf 2.96, 4 Al 3.15

Summary:
Energy of formation from the pure elements (meV per atom): -44
ρ (kg/m3): 10015
Size of the total moment (μB/cell): 0.0
Excess energy over the best structure of this formula in the dataset (meV/atom): 67
SG: P4/mmm

Record 8
The following is a DFT calculation (PBE) of a relaxed Tb2HfAl crystal.

a = 3.2680 Å, b = 3.2680 Å, c = 11.5033 Å
α = 81.83°, β = 81.83°, γ = 60.00°
Closest atoms and distances in Å follow each position.
Sites, in units of the cell vectors:
Tb  0.0955  0.0955  0.7134  3 Al 3.07, 1 Hf 3.25, 6 Tb 3.27
Tb  0.9045  0.9045  0.2866  3 Al 3.07, 1 Hf 3.25, 6 Tb 3.27
Hf  0.0000  0.0000  0.0000  2 Tb 3.25, 6 Hf 3.27
Al  0.5000  0.5000  0.5000  6 Tb 3.07, 6 Al 3.27

Summary:
Energy of formation from the pure elements (meV per atom): 282
ρ (kg/m3): 8280
Size of the total moment (μB/cell): 0.0
Excess energy over the best structure of this formula in the dataset (meV/atom): 384
SG: R-3m

> size of the total moment of number 7 (TbHf2Al)?

0.0 μB/cell

> The lowest energy of formation from the pure elements belongs to which entry?

TbHfAl4